Entry 1:
# TiTlO2, relaxed, DFT PBE
# VASP energy, eV for the cell shown: -26.11
# Offset from the most stable computed form, eV per atom: 0.6037
# Formation energy without anion corrections, eV/atom: -1.48
# Crystal system: tetragonal
# Space group: P4/mmm
# Spin magnetization, μB/f.u.: 0.04
data_TiTlO2
_symmetry_space_group_name_H-M 'P 1'
_symmetry_Int_Tables_number 1
_symmetry_space_group_name_Hall 'P 1'
_cell_length_a 2.742
_cell_length_b 2.742
_cell_length_c 7.051
_cell_angle_alpha 90.00
_cell_angle_beta 90.00
_cell_angle_gamma 90.00
loop_
_atom_site_label
_atom_site_type_symbol
_atom_site_fract_x
_atom_site_fract_y
_atom_site_fract_z
Ti1 Ti 0.000 0.000 0.000
Tl1 Tl 0.000 0.000 0.500
O1 O 0.500 0.500 0.160
O2 O 0.500 0.500 0.840

Entry 2:
# Ac12GaRu6, relaxed, DFT PBE
# VASP energy, eV for the cell shown: -110.58
# Crystal system: cubic
# Space group: Im-3
# Energy of formation from the pure elements, meV/atom: -137
# Spin magnetization, μB/f.u.: 0.00
data_Ac12GaRu6
_symmetry_space_group_name_H-M 'P 1'
_symmetry_Int_Tables_number 1
_symmetry_space_group_name_Hall 'P 1'
_cell_length_a 9.279
_cell_length_b 9.279
_cell_length_c 9.279
_cell_angle_alpha 109.47
_cell_angle_beta 109.47
_cell_angle_gamma 109.47
loop_
_atom_site_label
_atom_site_type_symbol
_atom_site_fract_x
_atom_site_fract_y
_atom_site_fract_z
Ac1 Ac 0.116 0.810 0.306
Ac2 Ac 0.190 0.306 0.497
Ac3 Ac 0.190 0.694 0.884
Ac4 Ac 0.306 0.116 0.810
Ac5 Ac 0.306 0.497 0.190
Ac6 Ac 0.497 0.190 0.306
Ac7 Ac 0.503 0.810 0.694
Ac8 Ac 0.694 0.503 0.810
Ac9 Ac 0.694 0.884 0.190
Ac10 Ac 0.810 0.306 0.116
Ac11 Ac 0.810 0.694 0.503
Ac12 Ac 0.884 0.190 0.694
Ga1 Ga 0.000 0.000 0.000
Ru1 Ru 0.120 0.620 0.500
Ru2 Ru 0.380 0.500 0.880
Ru3 Ru 0.500 0.120 0.620
Ru4 Ru 0.500 0.880 0.380
Ru5 Ru 0.620 0.500 0.120
Ru6 Ru 0.880 0.380 0.500

Entry 3:
# Ca2Co, relaxed, DFT PBE
# VASP energy, eV for the cell shown: -20.18
# Crystal system: orthorhombic
# Space group: Cmcm
# Energy of formation from the pure elements, meV/atom: 340
# Spin magnetization, μB/f.u.: 0.77
data_Ca2Co
_symmetry_space_group_name_H-M 'P 1'
_symmetry_Int_Tables_number 1
_symmetry_space_group_name_Hall 'P 1'
_cell_length_a 8.875
_cell_length_b 8.875
_cell_length_c 5.268
_cell_angle_alpha 90.00
_cell_angle_beta 90.00
_cell_angle_gamma 157.05
loop_
_atom_site_label
_atom_site_type_symbol
_atom_site_fract_x
_atom_site_fract_y
_atom_site_fract_z
Ca1 Ca 0.067 0.933 0.750
Ca2 Ca 0.191 0.809 0.250
Ca3 Ca 0.809 0.191 0.750
Ca4 Ca 0.933 0.067 0.250
Co1 Co 0.440 0.560 0.750
Co2 Co 0.560 0.440 0.250

Entry 4:
# FeBi2H, relaxed, DFT PBE
# VASP energy, eV for the cell shown: -17.04
# Offset from the most stable computed form, eV per atom: 0.0000
# Crystal system: cubic
# Space group: Fm-3m
# Spin magnetization, μB/f.u.: 2.43
data_FeBi2H
_symmetry_space_group_name_H-M 'P 1'
_symmetry_Int_Tables_number 1
_symmetry_space_group_name_Hall 'P 1'
_cell_length_a 4.770
_cell_length_b 4.770
_cell_length_c 4.770
_cell_angle_alpha 60.00
_cell_angle_beta 60.00
_cell_angle_gamma 60.00
loop_
_atom_site_label
_atom_site_type_symbol
_atom_site_fract_x
_atom_site_fract_y
_atom_site_fract_z
Fe1 Fe 0.000 0.000 0.000
Bi1 Bi 0.250 0.250 0.250
Bi2 Bi 0.750 0.750 0.750
H1 H 0.500 0.500 0.500

Entry 5:
# La5CdSi2, relaxed, DFT PBE
# VASP energy, eV for the cell shown: -80.45
# Formation energy without anion corrections, eV/atom: -0.48
# Crystal system: tetragonal
# Space group: I4/mcm
# Spin magnetization, μB/f.u.: 0.00
data_La5CdSi2
_symmetry_space_group_name_H-M 'P 1'
_symmetry_Int_Tables_number 1
_symmetry_space_group_name_Hall 'P 1'
_cell_length_a 9.496
_cell_length_b 9.496
_cell_length_c 9.496
_cell_angle_alpha 130.43
_cell_angle_beta 130.43
_cell_angle_gamma 72.72
loop_
_atom_site_label
_atom_site_type_symbol
_atom_site_fract_x
_atom_site_fract_y
_atom_site_fract_z
La1 La 0.000 0.000 0.000
La2 La 0.039 0.539 0.854
La3 La 0.185 0.039 0.500
La4 La 0.315 0.815 0.854
La5 La 0.461 0.315 0.500
La6 La 0.500 0.500 0.000
La7 La 0.539 0.685 0.500
La8 La 0.685 0.185 0.146
La9 La 0.815 0.961 0.500
La10 La 0.961 0.461 0.146
Cd1 Cd 0.250 0.250 0.000
Cd2 Cd 0.750 0.750 0.000
Si1 Si 0.113 0.387 0.500
Si2 Si 0.387 0.887 0.274
Si3 Si 0.613 0.113 0.726
Si4 Si 0.887 0.613 0.500

Entry 6:
# Re2PtCl, relaxed, DFT PBE
# VASP energy, eV for the cell shown: -29.82
# Offset from the most stable computed form, eV per atom: 0.5070
# Formation energy without anion corrections, eV/atom: 0.74
# Crystal system: monoclinic
# Space group: C2/m
# Spin magnetization, μB/f.u.: 0.00
data_Re2PtCl
_symmetry_space_group_name_H-M 'P 1'
_symmetry_Int_Tables_number 1
_symmetry_space_group_name_Hall 'P 1'
_cell_length_a 4.261
_cell_length_b 4.261
_cell_length_c 5.547
_cell_angle_alpha 99.17
_cell_angle_beta 99.17
_cell_angle_gamma 38.24
loop_
_atom_site_label
_atom_site_type_symbol
_atom_site_fract_x
_atom_site_fract_y
_atom_site_fract_z
Re1 Re 0.249 0.249 0.280
Re2 Re 0.751 0.751 0.720
Pt1 Pt 0.500 0.500 0.000
Cl1 Cl 0.000 0.000 0.500

Entry 7:
# Y2CrCl, relaxed, DFT PBE
# VASP energy, eV for the cell shown: -25.45
# Offset from the most stable computed form, eV per atom: 0.2053
# Formation energy without anion corrections, eV/atom: -0.26
# Crystal system: monoclinic
# Space group: Cm
# Spin magnetization, μB/f.u.: 2.68
data_Y2CrCl
_symmetry_space_group_name_H-M 'P 1'
_symmetry_Int_Tables_number 1
_symmetry_space_group_name_Hall 'P 1'
_cell_length_a 5.766
_cell_length_b 5.766
_cell_length_c 4.967
_cell_angle_alpha 90.17
_cell_angle_beta 90.17
_cell_angle_gamma 34.10
loop_
_atom_site_label
_atom_site_type_symbol
_atom_site_fract_x
_atom_site_fract_y
_atom_site_fract_z
Y1 Y 0.000 0.000 0.000
Y2 Y 0.729 0.729 0.501
Cr1 Cr 0.256 0.256 0.001
Cl1 Cl 0.472 0.472 0.499

Entry 8:
# Ba3NbOs, relaxed, DFT PBE
# VASP energy, eV for the cell shown: -20.15
# Offset from the most stable computed form, eV per atom: 0.0000
# Crystal system: cubic
# Space group: Pm-3m
# Energy of formation from the pure elements, meV/atom: 1383
# Spin magnetization, μB/f.u.: 0.54
data_Ba3NbOs
_symmetry_space_group_name_H-M 'P 1'
_symmetry_Int_Tables_number 1
_symmetry_space_group_name_Hall 'P 1'
_cell_length_a 5.906
_cell_length_b 5.906
_cell_length_c 5.906
_cell_angle_alpha 90.00
_cell_angle_beta 90.00
_cell_angle_gamma 90.00
loop_
_atom_site_label
_atom_site_type_symbol
_atom_site_fract_x
_atom_site_fract_y
_atom_site_fract_z
Ba1 Ba 0.000 0.000 0.500
Ba2 Ba 0.000 0.500 0.000
Ba3 Ba 0.500 0.000 0.000
Nb1 Nb 0.500 0.500 0.500
Os1 Os 0.000 0.000 0.000

Entry 9:
# AcNdAsSe, relaxed, DFT PBE
# VASP energy, eV for the cell shown: -23.90
# Formation energy without anion corrections, eV/atom: -1.72
# Crystal system: trigonal
# Space group: R3m
# Spin magnetization, μB/f.u.: 0.00
data_AcNdAsSe
_symmetry_space_group_name_H-M 'P 1'
_symmetry_Int_Tables_number 1
_symmetry_space_group_name_Hall 'P 1'
_cell_length_a 7.628
_cell_length_b 7.628
_cell_length_c 7.628
_cell_angle_alpha 33.33
_cell_angle_beta 33.33
_cell_angle_gamma 33.33
loop_
_atom_site_label
_atom_site_type_symbol
_atom_site_fract_x
_atom_site_fract_y
_atom_site_fract_z
Ac1 Ac 0.000 0.000 0.000
Nd1 Nd 0.507 0.507 0.507
As1 As 0.248 0.248 0.248
Se1 Se 0.758 0.758 0.758

Entry 10:
# TbYSe, relaxed, DFT PBE
# VASP energy, eV for the cell shown: -17.91
# Offset from the most stable computed form, eV per atom: 0.0193
# Formation energy without anion corrections, eV/atom: -1.11
# Crystal system: trigonal
# Space group: R3m
# Spin magnetization, μB/f.u.: 0.00
data_TbYSe
_symmetry_space_group_name_H-M 'P 1'
_symmetry_Int_Tables_number 1
_symmetry_space_group_name_Hall 'P 1'
_cell_length_a 6.802
_cell_length_b 6.802
_cell_length_c 6.802
_cell_angle_alpha 33.36
_cell_angle_beta 33.36
_cell_angle_gamma 33.36
loop_
_atom_site_label
_atom_site_type_symbol
_atom_site_fract_x
_atom_site_fract_y
_atom_site_fract_z
Tb1 Tb 0.000 0.000 0.000
Y1 Y 0.486 0.486 0.486
Se1 Se 0.242 0.242 0.242

Entry 11:
# Ca2Mg2Zn, relaxed, DFT PBE
# VASP energy, eV for the cell shown: -18.19
# Offset from the most stable computed form, eV per atom: 0.0031
# Crystal system: monoclinic
# Space group: C2/c
# Energy of formation from the pure elements, meV/atom: -126
# Spin magnetization, μB/f.u.: 0.00
data_Ca2Mg2Zn
_symmetry_space_group_name_H-M 'P 1'
_symmetry_Int_Tables_number 1
_symmetry_space_group_name_Hall 'P 1'
_cell_length_a 6.515
_cell_length_b 6.515
_cell_length_c 7.809
_cell_angle_alpha 106.55
_cell_angle_beta 106.55
_cell_angle_gamma 61.89
loop_
_atom_site_label
_atom_site_type_symbol
_atom_site_fract_x
_atom_site_fract_y
_atom_site_fract_z
Ca1 Ca 0.069 0.254 0.140
Ca2 Ca 0.254 0.069 0.640
Ca3 Ca 0.746 0.931 0.360
Ca4 Ca 0.931 0.746 0.860
Mg1 Mg 0.281 0.519 0.540
Mg2 Mg 0.481 0.719 0.960
Mg3 Mg 0.519 0.281 0.040
Mg4 Mg 0.719 0.481 0.460
Zn1 Zn 0.271 0.729 0.250
Zn2 Zn 0.729 0.271 0.750

Entry 12:
# ScSnAu3, relaxed, DFT PBE
# VASP energy, eV for the cell shown: -18.62
# Offset from the most stable computed form, eV per atom: 0.0000
# Crystal system: cubic
# Space group: Pm-3m
# Energy of formation from the pure elements, meV/atom: 310
# Spin magnetization, μB/f.u.: 0.00
data_ScSnAu3
_symmetry_space_group_name_H-M 'P 1'
_symmetry_Int_Tables_number 1
_symmetry_space_group_name_Hall 'P 1'
_cell_length_a 5.128
_cell_length_b 5.128
_cell_length_c 5.128
_cell_angle_alpha 90.00
_cell_angle_beta 90.00
_cell_angle_gamma 90.00
loop_
_atom_site_label
_atom_site_type_symbol
_atom_site_fract_x
_atom_site_fract_y
_atom_site_fract_z
Sc1 Sc 0.000 0.000 0.000
Sn1 Sn 0.500 0.500 0.500
Au1 Au 0.000 0.000 0.500
Au2 Au 0.000 0.500 0.000
Au3 Au 0.500 0.000 0.000